VASP calculation (PBE) on a geometry-optimized Zn2CrGa structure.

## Properties
* magnetic moment: 3.1 μB per formula unit
* symmetry: I-42d (122)
* DFT total energy: -3.4452 eV/atom
* formation energy from the elements: 0.354 eV per atom

a = 7.1674 Å, b = 7.1674 Å, c = 5.6931 Å
α = 50.99°, β = 50.99°, γ = 90.00°
Fractional coordinates of all 8 atoms:
Cr (0.5000, 0.5000, 0.0000)
Cr (0.2500, 0.7500, 0.5000)
Zn (0.6324, 0.1250, 0.2500)
Zn (0.1176, 0.6250, 0.2500)
Zn (0.3750, 0.3676, 0.7500)
Zn (0.8750, 0.8824, 0.7500)
Ga (0.0000, 0.0000, 0.0000)
Ga (0.7500, 0.2500, 0.5000)